Material: NpI3
Method: DFT, PBE-GGA
State: relaxed

Structure (POSCAR):
```
NpI3
1.0
7.828 0.000 0.000
0.000 7.962 0.003
0.000 -3.978 6.889
I Np
6 2
direct
0.250 0.696 0.695 I
0.250 0.304 0.000 I
0.750 0.696 0.000 I
0.750 0.000 0.695 I
0.750 0.304 0.305 I
0.250 0.000 0.305 I
0.500 0.000 0.000 Np
0.000 0.000 0.000 Np
```

Uncorrected formation energy ... -862 meV per atom
Total energy ... -5.26 eV per atom